Record 1
A plane-wave DFT calculation with PBE-GGA was carried out for a relaxed structure of CsTlH.

ΔE to the lowest computed polymorph, meV per atom: 76.1
DOS at the Fermi energy, states/eV per cell: 1.48
Space group: P4mm, No. 99

The structure in POSCAR format:
```
CsTlH
1.0
3.913 0.000 0.000
0.000 3.913 0.000
0.000 0.000 6.163
Cs Tl H
1 1 1
Direct
0.000 0.000 0.166
0.500 0.500 0.680
0.500 0.500 0.350
```

Record 2
A plane-wave DFT calculation with PBE-GGA was carried out for a relaxed structure of Cs5Tl2H.

DOS at the Fermi energy, states/eV per cell: 5.09
Space group: I4/mmm, No. 139
E_tot, eV/cell: -12.064

The structure in POSCAR format:
```
Cs5Tl2H
1.0
-5.335 5.335 3.730
5.335 -5.335 3.730
5.335 5.335 -3.730
Cs Tl H
5 2 1
Direct
0.694 0.306 0.000
0.306 0.694 0.000
0.000 0.000 0.000
0.306 0.306 0.611
0.694 0.694 0.389
0.250 0.750 0.500
0.750 0.250 0.500
0.500 0.500 0.000
```

Record 3
A plane-wave DFT calculation with PBE-GGA was carried out for a relaxed structure of Cs2Tl2H3.

DOS at the Fermi energy, states/eV per cell: 1.47
Space group: C2/m, No. 12
E_tot, eV/cell: -15.796

The structure in POSCAR format:
```
Cs2Tl2H3
1.0
3.683 0.000 -1.035
-0.125 6.642 -0.445
0.352 -0.792 8.326
H Cs Tl
3 2 2
Direct
0.178 0.675 0.355
0.822 0.325 0.645
0.000 0.000 0.000
0.640 0.248 0.280
0.360 0.752 0.720
0.057 0.710 0.114
0.943 0.290 0.886
```

Record 4
A plane-wave DFT calculation with PBE-GGA was carried out for a relaxed structure of CsTmH.

DOS at the Fermi energy, states/eV per cell: 3.84
Space group: Amm2, No. 38
E_tot, eV/cell: -15.768

The structure in POSCAR format:
```
CsTmH
1.0
-2.014 -1.421 2.758
-0.293 -1.377 -3.404
10.658 -9.458 2.911
Tm Cs H
2 2 2
Direct
0.666 0.332 0.604
0.666 0.332 0.396
0.220 0.439 0.137
0.220 0.439 0.863
0.336 0.672 0.500
0.559 0.118 0.000
```